{
  "formula": "KScGa2Br6",
  "functional": "PBE",
  "state": "relaxed",
  "magnetic_moment_mub_per_fu": 0.00,
  "dft_energy_ev_per_atom": -3.599,
  "lattice": [[-3.216, -6.208, 3.251], [3.966, -4.152, 5.147], [-2.194, 0.446, 7.828]],
  "species": ["Ga", "K", "Ga", "Br", "Br", "Br", "Br", "Sc", "Br", "Br"],
  "fractional_positions": [[0.517, 0.517, 0.450], [0.817, 0.817, 0.549], [0.010, 0.010, 0.969], [0.400, 0.688, 0.774], [0.688, 0.137, 0.775], [0.555, 0.233, 0.233], [0.233, 0.978, 0.233], [0.326, 0.326, 0.023], [0.978, 0.556, 0.233], [0.137, 0.400, 0.775]]
}

---

{
  "formula": "KGaSe2Br",
  "functional": "PBE",
  "state": "relaxed",
  "magnetic_moment_mub_per_fu": 0.33,
  "relative_energy_ev_per_fu": 0.00,
  "lattice": [[4.993, 0.000, 0.000], [0.000, 4.993, 0.000], [0.000, 0.000, 5.829]],
  "species": ["Ga", "Se", "Se", "K", "Br"],
  "fractional_positions": [[0.000, 0.000, 0.000], [0.000, 0.500, 0.000], [0.500, 0.000, 0.000], [0.500, 0.500, 0.500], [0.000, 0.000, 0.500]]
}

---

{
  "formula": "KGaSeBr2",
  "functional": "PBE",
  "state": "relaxed",
  "magnetic_moment_mub_per_fu": 0.00,
  "relative_energy_ev_per_fu": 0.00,
  "lattice": [[5.479, 0.000, 0.000], [0.000, 5.479, 0.000], [0.000, 0.000, 4.963]],
  "species": ["Br", "K", "Se", "Br", "Ga"],
  "fractional_positions": [[0.000, 0.500, 0.000], [0.500, 0.500, 0.500], [0.000, 0.000, 0.500], [0.500, 0.000, 0.000], [0.000, 0.000, 0.000]]
}

---

{
  "formula": "KGaSe2Br",
  "functional": "PBE",
  "state": "relaxed",
  "magnetic_moment_mub_per_fu": 3.01,
  "relative_energy_ev_per_fu": 4.49,
  "lattice": [[-2.481, 4.504, -3.167], [-2.819, -4.023, -3.512], [-4.724, 0.035, 3.751]],
  "species": ["Se", "Se", "Ga", "K", "Br"],
  "fractional_positions": [[0.000, 0.500, 0.000], [0.500, 0.000, 0.000], [0.500, 0.500, 0.500], [0.000, 0.000, 0.000], [0.000, 0.000, 0.500]]
}

---

What did the first record say?
{
  "formula": "KScGa2Br6",
  "functional": "PBE",
  "state": "relaxed",
  "magnetic_moment_mub_per_fu": 0.00,
  "dft_energy_ev_per_atom": -3.599,
  "lattice": [[-3.216, -6.208, 3.251], [3.966, -4.152, 5.147], [-2.194, 0.446, 7.828]],
  "species": ["Ga", "K", "Ga", "Br", "Br", "Br", "Br", "Sc", "Br", "Br"],
  "fractional_positions": [[0.517, 0.517, 0.450], [0.817, 0.817, 0.549], [0.010, 0.010, 0.969], [0.400, 0.688, 0.774], [0.688, 0.137, 0.775], [0.555, 0.233, 0.233], [0.233, 0.978, 0.233], [0.326, 0.326, 0.023], [0.978, 0.556, 0.233], [0.137, 0.400, 0.775]]
}